[1]
A plane-wave DFT calculation with PBE was carried out for NdSm5In2 after structural relaxation.

Computed properties:
The energy of formation comes out at -0.273 eV per atom. Its size of the total moment is 0.0 Bohr magnetons per cell. Its crystal system is orthorhombic. The calculation puts the calculated volume at 483.4 Å³ per cell. The calculation puts the uncorrected energy at -36.024 eV per formula unit. Its space group is No. 55. For the energy above the most stable polymorph in this dataset, the calculation gives 0 meV per atom.

Lattice parameters (Å, degrees): 4.947 6.991 13.980 90.00 90.00 90.00
Fractional positions:
Nd: 0.000 0.000 0.500
Nd: 0.000 0.500 0.000
Sm: 0.000 0.000 0.000
Sm: 0.000 0.500 0.500
Sm: 0.000 0.501 0.750
Sm: 0.000 0.499 0.250
Sm: 0.000 0.999 0.250
Sm: 0.000 0.001 0.750
Sm: 0.500 0.250 0.875
Sm: 0.500 0.750 0.125
Sm: 0.500 0.250 0.375
Sm: 0.500 0.750 0.625
In: 0.500 0.252 0.626
In: 0.500 0.748 0.374
In: 0.500 0.248 0.126
In: 0.500 0.752 0.874

---

[2]
A plane-wave DFT calculation with PBE was carried out for Nd2Sm2In after structural relaxation.

Computed properties:
The energy of formation comes out at -0.162 eV per atom. Its size of the total moment is 0.0 Bohr magnetons per cell. Its crystal system is monoclinic. The calculation puts the calculated volume at 322.2 Å³ per cell. The calculation puts the uncorrected energy at -22.521 eV per formula unit. Its space group is No. 12. For the energy above the most stable polymorph in this dataset, the calculation gives 0 meV per atom.

Lattice parameters (Å, degrees): 5.574 6.787 9.671 103.69 90.00 114.24
Fractional positions:
Nd: 0.977 0.953 0.659
Nd: 0.159 0.317 0.052
Nd: 0.023 0.047 0.341
Nd: 0.841 0.683 0.948
Sm: 0.344 0.688 0.448
Sm: 0.476 0.952 0.158
Sm: 0.656 0.312 0.552
Sm: 0.524 0.048 0.842
In: 0.748 0.497 0.254
In: 0.252 0.503 0.746

---

[3]
A plane-wave DFT calculation with PBE was carried out for Nd12SmIn3 after structural relaxation.

Computed properties:
The energy of formation comes out at -0.196 eV per atom. Its size of the total moment is 0.0 Bohr magnetons per cell. Its crystal system is tetragonal. The calculation puts the calculated volume at 512.2 Å³ per cell. The calculation puts the uncorrected energy at -73.289 eV per formula unit. Its space group is No. 123.

Lattice parameters (Å, degrees): 5.005 5.005 20.450 90.00 90.00 90.00
Fractional positions:
Nd: 0.500 0.500 0.000
Nd: 0.500 0.500 0.256
Nd: 0.500 0.500 0.500
Nd: 0.500 0.500 0.744
Nd: 0.500 0.000 0.132
Nd: 0.500 0.000 0.378
Nd: 0.500 0.000 0.622
Nd: 0.500 0.000 0.868
Nd: 0.000 0.500 0.132
Nd: 0.000 0.500 0.378
Nd: 0.000 0.500 0.622
Nd: 0.000 0.500 0.868
Sm: 0.000 0.000 0.000
In: 0.000 0.000 0.256
In: 0.000 0.000 0.500
In: 0.000 0.000 0.744

---

[4]
A plane-wave DFT calculation with PBE was carried out for Nd3SmIn3 after structural relaxation.

Computed properties:
The energy of formation comes out at -0.334 eV per atom. Its size of the total moment is 0.0 Bohr magnetons per cell. Its crystal system is hexagonal. The calculation puts the calculated volume at 424.6 Å³ per cell. The calculation puts the uncorrected energy at -29.574 eV per formula unit. Its space group is No. 176. For the energy above the most stable polymorph in this dataset, the calculation gives 5 meV per atom.

Lattice parameters (Å, degrees): 5.243 9.670 9.670 120.00 90.00 90.00
Fractional positions:
Nd: 0.250 0.761 0.762
Nd: 0.250 0.238 0.999
Nd: 0.250 0.001 0.239
Nd: 0.750 0.239 0.238
Nd: 0.750 0.762 0.001
Nd: 0.750 0.999 0.761
Sm: 0.250 0.667 0.333
Sm: 0.750 0.333 0.667
In: 0.750 0.613 0.543
In: 0.750 0.457 0.070
In: 0.750 0.930 0.387
In: 0.250 0.387 0.457
In: 0.250 0.543 0.930
In: 0.250 0.070 0.613

---

[5]
A plane-wave DFT calculation with PBE was carried out for Nd3Sm8In4 after structural relaxation.

Computed properties:
The energy of formation comes out at 0.025 eV per atom. Its size of the total moment is 0.0 Bohr magnetons per cell. Its crystal system is monoclinic. The calculation puts the calculated volume at 493.9 Å³ per cell. The calculation puts the uncorrected energy at -62.631 eV per formula unit. Its space group is No. 12.

Lattice parameters (Å, degrees): 11.865 9.276 9.276 84.83 130.19 130.19
Fractional positions:
Nd: 0.500 0.500 0.000
Nd: 0.500 0.000 0.500
Nd: 0.500 0.500 0.500
Sm: 0.747 0.395 0.395
Sm: 0.000 0.744 0.256
Sm: 0.874 0.122 0.122
Sm: 0.500 0.760 0.240
Sm: 0.500 0.240 0.760
Sm: 0.126 0.878 0.878
Sm: 0.000 0.256 0.744
Sm: 0.253 0.605 0.605
In: 0.500 0.000 0.000
In: 0.000 0.500 0.000
In: 0.000 0.000 0.000
In: 0.000 0.000 0.500

---

[6]
A plane-wave DFT calculation with PBE was carried out for Nd5Sm4In after structural relaxation.

Computed properties:
The energy of formation comes out at -0.002 eV per atom. Its size of the total moment is 0.0 Bohr magnetons per cell. Its crystal system is tetragonal. The calculation puts the calculated volume at 332.8 Å³ per cell. The calculation puts the uncorrected energy at -45.479 eV per formula unit. Its space group is No. 123. For the energy above the most stable polymorph in this dataset, the calculation gives 0 meV per atom.

Lattice parameters (Å, degrees): 4.259 4.259 18.350 90.00 90.00 90.00
Fractional positions:
Nd: 0.500 0.500 0.089
Nd: 0.500 0.500 0.296
Nd: 0.500 0.500 0.500
Nd: 0.500 0.500 0.704
Nd: 0.500 0.500 0.911
Sm: 0.000 0.000 0.195
Sm: 0.000 0.000 0.398
Sm: 0.000 0.000 0.602
Sm: 0.000 0.000 0.805
In: 0.000 0.000 0.000